[1]
Entry from the Alexandria database: crystalline KAsPb2 at its relaxed geometry (GGA-PBE).

Its crystal system is monoclinic.

abc: 6.791 6.791 3.440
angles: 104.64 104.64 119.69
Fractional coordinates of all 4 atoms:
1 K 0.000 0.000 0.000
2 As 0.500 0.500 0.000
3 Pb 0.000 0.500 0.000
4 Pb 0.500 0.000 0.000



[2]
Entry from the Alexandria database: crystalline KAsPb2 at its relaxed geometry (GGA-PBE).

Its crystal system is monoclinic.

abc: 3.371 5.545 6.446
angles: 90.00 93.51 90.00
Fractional coordinates of all 4 atoms:
1 K 0.000 0.000 0.000
2 As 0.500 0.000 0.500
3 Pb 0.361 0.500 0.724
4 Pb 0.639 0.500 0.276



[3]
Entry from the Alexandria database: crystalline KAsPb2 at its relaxed geometry (GGA-PBE).

Its crystal system is trigonal.

abc: 9.725 9.725 9.725
angles: 24.67 24.67 24.67
Fractional coordinates of all 4 atoms:
1 K 0.000 0.000 0.000
2 As 0.500 0.500 0.500
3 Pb 0.228 0.228 0.228
4 Pb 0.772 0.772 0.772



[4]
Entry from the Alexandria database: crystalline KAsPb2 at its relaxed geometry (GGA-PBE).

Its crystal system is tetragonal.

abc: 4.832 4.832 4.976
angles: 90.00 90.00 90.00
Fractional coordinates of all 4 atoms:
1 K 0.000 0.000 0.000
2 As 0.500 0.500 0.000
3 Pb 0.000 0.500 0.500
4 Pb 0.500 0.000 0.500



[5]
Entry from the Alexandria database: crystalline KAsPb2 at its relaxed geometry (GGA-PBE).

Its crystal system is orthorhombic.

abc: 7.159 7.159 7.159
angles: 146.70 137.75 54.82
Fractional coordinates of all 4 atoms:
1 K 0.000 0.000 0.000
2 As 0.783 0.283 0.500
3 Pb 0.284 0.784 0.500
4 Pb 0.627 0.627 0.000



[6]
Entry from the Alexandria database: crystalline KAs2Pb at its relaxed geometry (GGA-PBE).

Its crystal system is monoclinic.

abc: 4.158 4.256 6.933
angles: 90.00 90.37 90.00
Fractional coordinates of all 4 atoms:
1 K 0.000 0.000 0.000
2 As 0.498 0.500 0.326
3 As 0.502 0.500 0.674
4 Pb 0.000 0.000 0.500



[7]
Entry from the Alexandria database: crystalline KAs2Pb at its relaxed geometry (GGA-PBE).

Its crystal system is tetragonal.

abc: 4.775 4.775 4.513
angles: 90.00 90.00 90.00
Fractional coordinates of all 4 atoms:
1 K 0.000 0.000 0.000
2 As 0.000 0.500 0.500
3 As 0.500 0.000 0.500
4 Pb 0.500 0.500 0.000



[8]
Entry from the Alexandria database: crystalline KAs2Pb at its relaxed geometry (GGA-PBE).

Its crystal system is monoclinic.

abc: 4.597 4.541 6.468
angles: 90.00 110.38 90.00
Fractional coordinates of all 4 atoms:
1 K 0.000 0.000 0.000
2 As 0.609 0.500 0.222
3 As 0.718 0.000 0.445
4 Pb 0.259 0.500 0.529



[9]
Entry from the Alexandria database: crystalline KAsPb2 at its relaxed geometry (GGA-PBE).

Its crystal system is monoclinic.

abc: 5.807 5.807 6.614
angles: 108.29 108.29 41.48
Fractional coordinates of all 4 atoms:
1 K 0.000 0.000 0.000
2 As 0.710 0.710 0.358
3 Pb 0.213 0.213 0.666
4 Pb 0.433 0.433 0.440



[10]
Entry from the Alexandria database: crystalline KAs2Pb2 at its relaxed geometry (GGA-PBE).

Its crystal system is tetragonal.

abc: 6.741 6.741 6.741
angles: 132.69 132.69 69.14
Fractional coordinates of all 5 atoms:
1 K 0.000 0.000 0.000
2 As 0.250 0.750 0.500
3 As 0.750 0.250 0.500
4 Pb 0.351 0.351 0.000
5 Pb 0.649 0.649 0.000



[11]
Entry from the Alexandria database: crystalline KAs2Pb at its relaxed geometry (GGA-PBE).

Its crystal system is monoclinic.

abc: 5.779 5.779 3.280
angles: 90.10 90.10 108.54
Fractional coordinates of all 4 atoms:
1 K 0.000 0.000 0.000
2 As 0.000 0.500 0.500
3 As 0.500 0.000 0.500
4 Pb 0.500 0.500 0.000



[12]
Entry from the Alexandria database: crystalline KAs2Pb at its relaxed geometry (GGA-PBE).

Its crystal system is cubic.

abc: 5.303 5.303 5.303
angles: 60.00 60.00 60.00
Fractional coordinates of all 4 atoms:
1 K 0.000 0.000 0.000
2 As 0.250 0.250 0.250
3 As 0.500 0.500 0.500
4 Pb 0.750 0.750 0.750



[13]
Entry from the Alexandria database: crystalline KAsPdPb at its relaxed geometry (GGA-PBE).

Its crystal system is trigonal.

abc: 7.420 7.420 7.420
angles: 34.18 34.18 34.18
Fractional coordinates of all 4 atoms:
1 K 0.000 0.000 0.000
2 As 0.559 0.559 0.559
3 Pd 0.207 0.207 0.207
4 Pb 0.804 0.804 0.804



[14]
Entry from the Alexandria database: crystalline K2As2PdPb at its relaxed geometry (GGA-PBE).

Its crystal system is orthorhombic.

abc: 8.594 8.594 8.594
angles: 127.98 73.66 131.75
Fractional coordinates of all 12 atoms:
1 K 0.180 0.201 0.382
2 K 0.320 0.701 0.021
3 K 0.680 0.299 0.979
4 K 0.820 0.799 0.618
5 As 0.075 0.790 0.865
6 As 0.425 0.290 0.715
7 As 0.575 0.710 0.285
8 As 0.925 0.210 0.135
9 Pd 0.250 0.250 0.000
10 Pd 0.750 0.750 0.000
11 Pb 0.250 0.750 0.500
12 Pb 0.750 0.250 0.500



[15]
Entry from the Alexandria database: crystalline KAs2Pd4Pb at its relaxed geometry (GGA-PBE).

Its crystal system is tetragonal.

abc: 4.066 4.066 10.884
angles: 90.00 90.00 90.00
Fractional coordinates of all 8 atoms:
1 K 0.000 0.000 0.000
2 As 0.500 0.500 0.182
3 As 0.500 0.500 0.818
4 Pd 0.000 0.500 0.311
5 Pd 0.000 0.500 0.689
6 Pd 0.500 0.000 0.311
7 Pd 0.500 0.000 0.689
8 Pb 0.000 0.000 0.500



These records have calculated formation energy values of 0.038; -0.013; -0.007; -0.027; -0.143; -0.182; 0.052; -0.169; -0.139; -0.095; 0.056; 0.217; -0.386; -0.282; -0.354 eV per atom, in the order they appear.